# 1
The following is a DFT calculation (GGA-PBEsol) of a relaxed structure of LiTaSi2.

POSCAR file:
```
LiTaSi2
1.0
4.360 -1.414 0.000
4.360 1.414 0.000
-1.137 0.000 4.816
Li Ta Si
1 1 2
Direct
0.000 0.000 0.000 Li
0.500 0.500 0.500 Ta
0.251 0.251 0.737 Si
0.749 0.749 0.263 Si
```

Summary:
**Magnetization**: 0.00 μB/cell
**Energy relative to the lowest polymorph listed for this composition**: 0.178 eV per atom


# 2
The following is a DFT calculation (GGA-PBEsol) of a relaxed structure of CoSi2Ru.

POSCAR file:
```
CoSi2Ru
1.0
1.387 0.801 7.479
-1.387 0.801 7.479
0.000 -1.601 7.479
Co Si Ru
1 2 1
Direct
0.000 0.000 0.000 Co
0.495 0.495 0.495 Si
0.738 0.738 0.738 Si
0.240 0.240 0.240 Ru
```

Summary:
**Magnetization**: 0.78 μB/cell
**Electronic total energy**: -7.46 eV/atom


# 3
The following is a DFT calculation (GGA-PBEsol) of a relaxed structure of Ca3Zn.

POSCAR file:
```
Ca3Zn
1.0
5.753 0.000 0.000
0.000 5.753 0.000
0.000 0.000 5.753
Ca Zn
3 1
Direct
0.000 0.000 0.500 Ca
0.000 0.500 0.000 Ca
0.500 0.000 0.000 Ca
0.000 0.000 0.000 Zn
```

Summary:
**Magnetization**: 0.00 μB/cell
**Energy of formation from the pure elements**: 236 meV per atom
**Energy relative to the lowest polymorph listed for this composition**: 0.347 eV per atom


# 4
The following is a DFT calculation (GGA-PBEsol) of a relaxed structure of TiMo2AsP.

POSCAR file:
```
TiMo2AsP
1.0
4.554 0.000 0.000
0.000 4.554 0.000
0.000 0.000 4.549
Ti Mo As P
1 2 1 1
Direct
0.000 0.000 0.000 Ti
0.000 0.500 0.500 Mo
0.500 0.000 0.500 Mo
0.000 0.000 0.500 As
0.500 0.500 0.000 P
```

Summary:
**Magnetization**: 0.00 μB/cell
**Energy of formation from the pure elements**: 1067 meV per atom


# 5
The following is a DFT calculation (GGA-PBEsol) of a relaxed structure of NaSn3I.

POSCAR file:
```
NaSn3I
1.0
5.837 0.000 0.000
0.000 5.837 0.000
0.000 0.000 5.837
Na Sn I
1 3 1
Direct
0.000 0.000 0.000 Na
0.000 0.500 0.500 Sn
0.500 0.000 0.500 Sn
0.500 0.500 0.000 Sn
0.500 0.500 0.500 I
```

Summary:
**Magnetization**: 0.00 μB/cell
**Electronic total energy**: -2.59 eV/atom


# 6
The following is a DFT calculation (GGA-PBEsol) of a relaxed structure of AgPb2.

POSCAR file:
```
AgPb2
1.0
7.862 0.000 0.000
-3.931 6.808 0.000
0.000 0.000 4.260
Ag Pb
3 6
Direct
0.000 0.000 0.000 Ag
0.333 0.667 0.500 Ag
0.667 0.333 0.500 Ag
0.000 0.399 0.000 Pb
0.000 0.736 0.500 Pb
0.264 0.264 0.500 Pb
0.399 0.000 0.000 Pb
0.601 0.601 0.000 Pb
0.736 0.000 0.500 Pb
```

Summary:
**Magnetization**: 0.00 μB/cell
**Energy of formation from the pure elements**: 72 meV per atom


# 7
The following is a DFT calculation (GGA-PBEsol) of a relaxed structure of W2N3.

POSCAR file:
```
W2N3
1.0
2.493 -4.288 0.000
2.493 4.288 0.000
-1.677 0.000 5.052
W N
4 6
Direct
0.000 0.000 0.000 W
0.185 0.185 0.539 W
0.346 0.683 0.024 W
0.683 0.346 0.024 W
0.097 0.414 0.267 N
0.265 0.929 0.763 N
0.414 0.097 0.267 N
0.586 0.586 0.765 N
0.773 0.773 0.269 N
0.929 0.265 0.763 N
```

Summary:
**Magnetization**: 0.00 μB/cell
**Electronic total energy**: -11.27 eV/atom


# 8
The following is a DFT calculation (GGA-PBEsol) of a relaxed structure of MgAlCd2.

POSCAR file:
```
MgAlCd2
1.0
-2.156 2.156 4.293
2.156 -2.156 4.293
2.156 2.156 -4.293
Mg Al Cd
1 1 2
Direct
0.000 0.000 0.000 Mg
0.750 0.250 0.500 Al
0.250 0.750 0.500 Cd
0.500 0.500 0.000 Cd
```

Summary:
**Magnetization**: 0.00 μB/cell
**Energy of formation from the pure elements**: 9 meV per atom


# 9
The following is a DFT calculation (GGA-PBEsol) of a relaxed structure of RbSb2P2.

POSCAR file:
```
RbSb2P2
1.0
-2.246 2.246 6.425
2.246 -2.246 6.425
2.246 2.246 -6.425
Rb Sb P
1 2 2
Direct
0.000 0.000 0.000 Rb
0.250 0.750 0.500 Sb
0.750 0.250 0.500 Sb
0.419 0.419 0.000 P
0.581 0.581 0.000 P
```

Summary:
**Magnetization**: 0.00 μB/cell
**Energy relative to the lowest polymorph listed for this composition**: 0.000 eV per atom


# 10
The following is a DFT calculation (GGA-PBEsol) of a relaxed structure of ScCu2Ni.

POSCAR file:
```
ScCu2Ni
1.0
-1.807 1.807 3.971
1.807 -1.807 3.971
1.807 1.807 -3.971
Sc Cu Ni
1 2 1
Direct
0.000 0.000 0.000 Sc
0.250 0.750 0.500 Cu
0.750 0.250 0.500 Cu
0.500 0.500 0.000 Ni
```

Summary:
**Magnetization**: 0.00 μB/cell
**Energy of formation from the pure elements**: -277 meV per atom


# 11
The following is a DFT calculation (GGA-PBEsol) of a relaxed structure of BaLaZr2Ag.

POSCAR file:
```
BaLaZr2Ag
1.0
5.258 0.000 0.000
0.000 5.258 0.000
0.000 0.000 5.718
Ba La Zr Ag
1 1 2 1
Direct
0.000 0.000 0.000 Ba
0.500 0.500 0.500 La
0.000 0.500 0.500 Zr
0.500 0.000 0.500 Zr
0.500 0.500 0.000 Ag
```

Summary:
**Magnetization**: 0.00 μB/cell
**Energy of formation from the pure elements**: 904 meV per atom


# 12
The following is a DFT calculation (GGA-PBEsol) of a relaxed structure of AlAu.

POSCAR file:
```
AlAu
1.0
3.116 0.000 0.000
0.000 4.717 0.000
0.000 0.000 4.444
Al Au
2 2
Direct
0.250 0.250 0.116 Al
0.750 0.750 0.884 Al
0.250 0.750 0.358 Au
0.750 0.250 0.642 Au
```

Summary:
**Magnetization**: 0.00 μB/cell
**Energy of formation from the pure elements**: -371 meV per atom